# Li2MoP | the Alexandria database | PBE-GGA | optimized geometry
# energy of formation	-0.0121	eV/atom
data_Li2MoP
_chemical_formula_sum 'Li4 Mo2 P2'
_cell_length_a 3.3491
_cell_length_b 4.5956
_cell_length_c 8.5076
_cell_angle_alpha 90.00
_cell_angle_beta 90.00
_cell_angle_gamma 90.00
_space_group_name_H-M_alt 'C m m 2'
_space_group_IT_number 35
loop_
_space_group_symop_operation_xyz
'x,y,z'
'-x,-y,z'
'-x,y,z'
'x,-y,z'
'x+1/2,y+1/2,z'
'-x+1/2,-y+1/2,z'
'-x+1/2,y+1/2,z'
'x+1/2,-y+1/2,z'
loop_
_atom_site_label
_atom_site_fract_x
_atom_site_fract_y
_atom_site_fract_z
Li1 0.0000 0.0000 0.0000
Li2 0.0000 0.5000 0.3121
Mo1 0.0000 0.5000 0.7315
P1 0.0000 0.0000 0.5335